Compound: Ho2PuPaSb4
Source: the Alexandria database
Functional: PBE
Structure: optimized geometry

Raw formation energy = -0.831 eV per atom
Size of the total moment = 6.18 μB/f.u.
E = -56.12 eV/cell
DOS(E_F) = 16.4 states/eV/cell

Geometry as CIF:
```
data_Ho2PuPaSb4
_chemical_formula_sum 'Ho2 Pu1 Pa1 Sb4'
_space_group_name_H-M_alt 'P 1 2/m 1'
_space_group_IT_number 10
_cell_length_a 7.5850
_cell_length_b 4.3845
_cell_length_c 7.5897
_cell_angle_alpha 90.00
_cell_angle_beta 109.44
_cell_angle_gamma 90.00
loop_
_space_group_symop_operation_xyz
'x,y,z'
'-x,-y,-z'
'-x,y,-z'
'x,-y,z'
loop_
_atom_site_label
_atom_site_fract_x
_atom_site_fract_y
_atom_site_fract_z
Ho1 0.0000 0.0000 0.0000
Ho2 0.0000 0.5000 0.5000
Pu1 0.5000 0.0000 0.5000
Pa1 0.5000 0.5000 0.0000
Sb1 0.2480 0.0000 0.7515
Sb2 0.2479 0.5000 0.2468
```